Entry 1:
This record from the Alexandria database describes a geometry-optimized NdDy14Pu structure. The functional is PBE.

Unit cell a=7.2169 b=7.2169 c=11.2784 alpha=90.00 beta=90.00 gamma=119.94
Last column: nearest neighbours and their distance in Å.
Atoms (fractional coordinates):
Dy 0.8334 0.1666 0.5000  12 Dy 3.50-3.61
Dy 0.8336 0.6674 0.0000  8 Dy 3.50-3.62, 2 Pu 3.59-3.62, 2 Nd 3.60-3.61
Dy 0.1662 0.8338 0.2532  11 Dy 3.48-3.62, 1 Nd 3.54
Dy 0.1630 0.3312 0.2492  1 Pu 3.48, 10 Dy 3.50-3.65, 1 Nd 3.51
Dy 0.3334 0.1670 0.5000  12 Dy 3.48-3.61
Dy 0.1630 0.3312 0.7508  1 Pu 3.48, 10 Dy 3.50-3.65, 1 Nd 3.51
Dy 0.6683 0.3317 0.2478  1 Pu 3.48, 11 Dy 3.50-3.65
Dy 0.6688 0.8370 0.2492  1 Pu 3.48, 10 Dy 3.50-3.65, 1 Nd 3.51
Dy 0.1662 0.8338 0.7468  11 Dy 3.48-3.62, 1 Nd 3.54
Dy 0.3326 0.1664 0.0000  8 Dy 3.50-3.62, 2 Pu 3.59-3.62, 2 Nd 3.60-3.61
Dy 0.3334 0.6666 0.5000  12 Dy 3.48-3.61
Dy 0.6683 0.3317 0.7522  1 Pu 3.48, 11 Dy 3.50-3.65
Dy 0.8330 0.6666 0.5000  12 Dy 3.48-3.61
Dy 0.6688 0.8370 0.7508  1 Pu 3.48, 10 Dy 3.50-3.65, 1 Nd 3.51
Pu 0.8342 0.1658 0.0000  10 Dy 3.48-3.62, 2 Nd 3.61
Nd 0.3336 0.6664 0.0000  10 Dy 3.51-3.61, 2 Pu 3.61

Properties
energy of formation from the pure elements	0.033	eV per atom
Fermi-level density of states	28.30	states/eV/cell

Entry 2:
This record from the Alexandria database describes a geometry-optimized Nd3Dy12Pu structure. The functional is PBE.

Unit cell a=5.0360 b=5.0360 c=20.0995 alpha=90.00 beta=90.00 gamma=90.00
Last column: nearest neighbours and their distance in Å.
Atoms (fractional coordinates):
Dy 0.0000 0.5000 0.8800  8 Dy 3.49-3.59, 2 Pu 3.49, 2 Nd 3.59
Dy 0.5000 0.5000 0.5000  4 Nd 3.56, 8 Dy 3.58
Dy 0.0000 0.5000 0.3733  8 Dy 3.56-3.58, 4 Nd 3.57-3.58
Dy 0.5000 0.0000 0.1200  8 Dy 3.49-3.59, 2 Pu 3.49, 2 Nd 3.59
Dy 0.5000 0.0000 0.8800  8 Dy 3.49-3.59, 2 Pu 3.49, 2 Nd 3.59
Dy 0.5000 0.0000 0.3733  8 Dy 3.56-3.58, 4 Nd 3.57-3.58
Dy 0.0000 0.5000 0.6267  8 Dy 3.56-3.58, 4 Nd 3.57-3.58
Dy 0.0000 0.5000 0.1200  8 Dy 3.49-3.59, 2 Pu 3.49, 2 Nd 3.59
Dy 0.5000 0.5000 0.2474  4 Nd 3.56, 8 Dy 3.57-3.59
Dy 0.5000 0.5000 0.0000  8 Dy 3.49, 4 Pu 3.56
Dy 0.5000 0.0000 0.6267  8 Dy 3.56-3.58, 4 Nd 3.57-3.58
Dy 0.5000 0.5000 0.7526  4 Nd 3.56, 8 Dy 3.57-3.59
Nd 0.0000 0.0000 0.7528  12 Dy 3.56-3.59
Nd 0.0000 0.0000 0.2472  12 Dy 3.56-3.59
Nd 0.0000 0.0000 0.5000  12 Dy 3.56-3.58
Pu 0.0000 0.0000 0.0000  12 Dy 3.49-3.56

Properties
energy of formation from the pure elements	0.043	eV per atom
Fermi-level density of states	29.64	states/eV/cell

Entry 3:
This record from the Alexandria database describes a geometry-optimized NdDy2Pu structure. The functional is PBE.

Unit cell a=5.6409 b=5.6409 c=5.6409 alpha=60.00 beta=60.00 gamma=60.00
Last column: nearest neighbours and their distance in Å.
Atoms (fractional coordinates):
Dy 0.7500 0.7500 0.7500  4 Nd 3.45, 4 Pu 3.45
Dy 0.2500 0.2500 0.2500  4 Nd 3.45, 4 Pu 3.45
Pu 0.0000 0.0000 0.0000  8 Dy 3.45
Nd 0.5000 0.5000 0.5000  8 Dy 3.45

Properties
energy of formation from the pure elements	0.216	eV per atom
Fermi-level density of states	12.47	states/eV/cell

Entry 4:
This record from the Alexandria database describes a geometry-optimized NdDyPu2 structure. The functional is PBE.

Unit cell a=5.0587 b=4.8697 c=4.8697 alpha=90.00 beta=90.00 gamma=90.00
Last column: nearest neighbours and their distance in Å.
Atoms (fractional coordinates):
Nd 0.5000 0.5000 0.5000  4 Dy 3.44, 8 Pu 3.51
Dy 0.5000 0.0000 0.0000  4 Nd 3.44, 8 Pu 3.51
Pu 0.0000 0.0000 0.5000  4 Pu 3.44, 4 Dy 3.51, 4 Nd 3.51
Pu 0.0000 0.5000 0.0000  4 Pu 3.44, 4 Dy 3.51, 4 Nd 3.51

Properties
energy of formation from the pure elements	0.208	eV per atom
Fermi-level density of states	16.04	states/eV/cell

Entry 5:
This record from the Alexandria database describes a geometry-optimized Nd4Dy5Pu structure. The functional is PBE.

Unit cell a=5.7230 b=11.5158 c=10.2523 alpha=90.00 beta=90.00 gamma=90.00
Last column: nearest neighbours and their distance in Å.
Atoms (fractional coordinates):
Dy 0.2501 0.1910 0.1929  1 Pu 2.96
Dy 0.7492 0.5000 0.0000  6 Nd 3.61-3.64, 4 Dy 3.84
Dy 0.2501 0.1910 0.8071  1 Pu 2.96
Dy 0.2501 0.8090 0.8071  1 Pu 2.96
Dy 0.7499 0.6910 0.6929  1 Pu 2.96
Dy 0.2501 0.8090 0.1929  1 Pu 2.96
Dy 0.7499 0.3090 0.6929  1 Pu 2.96
Dy 0.7499 0.6910 0.3071  1 Pu 2.96
Dy 0.7499 0.3090 0.3071  1 Pu 2.96
Dy 0.2508 0.0000 0.5000  6 Nd 3.61-3.64, 4 Dy 3.84
Nd 0.7502 0.1836 0.0000  7 Dy 3.46-3.64, 2 Pu 3.56, 2 Nd 3.61
Nd 0.2495 0.5000 0.2142  8 Dy 3.56-3.73, 2 Nd 3.61
Nd 0.7505 0.0000 0.2858  8 Dy 3.56-3.73, 2 Nd 3.61
Nd 0.2495 0.5000 0.7858  8 Dy 3.56-3.73, 2 Nd 3.61
Nd 0.2498 0.6836 0.5000  7 Dy 3.46-3.64, 2 Pu 3.56, 2 Nd 3.61
Nd 0.7502 0.8164 0.0000  7 Dy 3.46-3.64, 2 Pu 3.56, 2 Nd 3.61
Nd 0.7505 0.0000 0.7142  8 Dy 3.56-3.73, 2 Nd 3.61
Nd 0.2498 0.3164 0.5000  7 Dy 3.46-3.64, 2 Pu 3.56, 2 Nd 3.61
Pu 0.7501 0.5000 0.5000  4 Dy 2.96
Pu 0.2499 0.0000 0.0000  4 Dy 2.96

Properties
energy of formation from the pure elements	0.249	eV per atom
Fermi-level density of states	37.50	states/eV/cell

Entry 6:
This record from the Alexandria database describes a geometry-optimized NdDyPu structure. The functional is PBE.

Unit cell a=3.5662 b=3.5662 c=8.6164 alpha=90.00 beta=90.00 gamma=120.00
Last column: nearest neighbours and their distance in Å.
Atoms (fractional coordinates):
Nd 0.0000 0.0000 0.0027  3 Pu 3.54, 6 Nd 3.57, 3 Dy 3.59
Dy 0.3333 0.6667 0.6608  3 Pu 3.47, 6 Dy 3.57, 3 Nd 3.59
Pu 0.6667 0.3333 0.3366  3 Dy 3.47, 3 Nd 3.54, 6 Pu 3.57

Properties
energy of formation from the pure elements	0.139	eV per atom
Fermi-level density of states	8.60	states/eV/cell

Entry 7:
This record from the Alexandria database describes a geometry-optimized Nd10Dy6Pu structure. The functional is PBE.

Unit cell a=6.9152 b=9.8314 c=9.8314 alpha=120.00 beta=90.00 gamma=90.00
Last column: nearest neighbours and their distance in Å.
Atoms (fractional coordinates):
Nd 0.5000 0.3333 0.6667  6 Dy 3.37, 2 Nd 3.46
Nd 0.1885 0.0000 0.7317  5 Dy 3.38-3.64, 1 Pu 3.41, 2 Nd 3.71
Nd 0.8115 0.0000 0.2683  5 Dy 3.38-3.64, 1 Pu 3.41, 2 Nd 3.71
Nd 0.1885 0.7317 0.0000  5 Dy 3.38-3.64, 1 Pu 3.41, 2 Nd 3.71
Nd 0.8115 0.2683 0.0000  5 Dy 3.38-3.64, 1 Pu 3.41, 2 Nd 3.71
Nd 0.0000 0.3333 0.6667  8 Nd 3.46-3.87, 6 Dy 3.76
Nd 0.0000 0.6667 0.3333  8 Nd 3.46-3.87, 6 Dy 3.76
Nd 0.5000 0.6667 0.3333  6 Dy 3.37, 2 Nd 3.46
Nd 0.1885 0.2683 0.2683  5 Dy 3.38-3.64, 1 Pu 3.41, 2 Nd 3.71
Nd 0.8115 0.7317 0.7317  5 Dy 3.38-3.64, 1 Pu 3.41, 2 Nd 3.71
Dy 0.6931 0.6265 0.0000  9 Nd 3.37-3.76, 1 Dy 3.65
Dy 0.6931 0.0000 0.6265  9 Nd 3.37-3.76, 1 Dy 3.65
Dy 0.3069 0.3735 0.0000  9 Nd 3.37-3.76, 1 Dy 3.65
Dy 0.6931 0.3735 0.3735  9 Nd 3.37-3.76, 1 Dy 3.65
Dy 0.3069 0.6265 0.6265  9 Nd 3.37-3.76, 1 Dy 3.65
Dy 0.3069 0.0000 0.3735  9 Nd 3.37-3.76, 1 Dy 3.65
Pu 0.5000 0.0000 0.0000  6 Nd 3.41

Properties
energy of formation from the pure elements	0.159	eV per atom
Fermi-level density of states	30.47	states/eV/cell

Entry 8:
This record from the Alexandria database describes a geometry-optimized Nd14DyPu structure. The functional is PBE.

Unit cell a=7.3176 b=7.3176 c=10.3156 alpha=90.00 beta=90.00 gamma=89.97
Last column: nearest neighbours and their distance in Å.
Atoms (fractional coordinates):
Nd 0.6263 0.8763 0.7545  1 Pu 3.61, 10 Nd 3.62-3.70, 1 Dy 3.63
Nd 0.8751 0.6253 0.0000  8 Nd 3.62, 2 Pu 3.66, 2 Dy 3.66
Nd 0.8749 0.1251 0.5000  12 Nd 3.66-3.68
Nd 0.6263 0.8763 0.2455  1 Pu 3.61, 10 Nd 3.62-3.70, 1 Dy 3.63
Nd 0.8750 0.6249 0.5000  12 Nd 3.66-3.69
Nd 0.6262 0.3738 0.2453  1 Pu 3.61, 10 Nd 3.62-3.69, 1 Dy 3.63
Nd 0.1237 0.3737 0.7545  1 Pu 3.61, 10 Nd 3.62-3.70, 1 Dy 3.63
Nd 0.1238 0.8762 0.7541  1 Pu 3.61, 10 Nd 3.62-3.69, 1 Dy 3.63
Nd 0.1237 0.3737 0.2455  1 Pu 3.61, 10 Nd 3.62-3.70, 1 Dy 3.63
Nd 0.3751 0.1250 0.5000  12 Nd 3.66-3.69
Nd 0.6262 0.3738 0.7547  1 Pu 3.61, 10 Nd 3.62-3.69, 1 Dy 3.63
Nd 0.3753 0.6247 0.5000  12 Nd 3.66-3.70
Nd 0.1238 0.8762 0.2459  1 Pu 3.61, 10 Nd 3.62-3.69, 1 Dy 3.63
Nd 0.3747 0.1249 0.0000  8 Nd 3.62, 2 Pu 3.66, 2 Dy 3.66
Pu 0.8751 0.1249 0.0000  12 Nd 3.61-3.66
Dy 0.3748 0.6252 0.0000  12 Nd 3.63-3.66

Properties
energy of formation from the pure elements	0.042	eV per atom
Fermi-level density of states	31.88	states/eV/cell

Entry 9:
This record from the Alexandria database describes a geometry-optimized NdDy2Pu structure. The functional is PBE.

Unit cell a=3.4698 b=3.4698 c=12.4917 alpha=82.02 beta=82.02 gamma=60.00
Last column: nearest neighbours and their distance in Å.
Atoms (fractional coordinates):
Dy 0.9123 0.9123 0.2630  1 Pu 3.24, 6 Dy 3.47, 3 Nd 3.54
Dy 0.0877 0.0877 0.7370  1 Pu 3.24, 6 Dy 3.47, 3 Nd 3.54
Nd 0.5000 0.5000 0.5000  6 Nd 3.47, 6 Dy 3.54
Pu 0.0000 0.0000 0.0000  2 Dy 3.24, 6 Pu 3.47

Properties
energy of formation from the pure elements	0.275	eV per atom
Fermi-level density of states	12.14	states/eV/cell

Entry 10:
This record from the Alexandria database describes a geometry-optimized NdDyPu structure. The functional is PBE.

Unit cell a=6.5172 b=6.5172 c=5.6955 alpha=115.85 beta=115.85 gamma=64.17
Last column: nearest neighbours and their distance in Å.
Atoms (fractional coordinates):
Dy 0.7534 0.2466 0.0000  2 Dy 3.41-3.51, 6 Nd 3.52-3.72, 6 Pu 3.64-3.70
Dy 0.2466 0.7534 0.0000  2 Dy 3.41-3.51, 6 Nd 3.52-3.72, 6 Pu 3.64-3.70
Pu 0.6528 0.6528 0.6532  1 Pu 2.89
Pu 0.3472 0.3472 0.3468  1 Pu 2.89
Nd 0.8227 0.8227 0.3229  4 Pu 3.27-3.47, 1 Nd 3.36, 2 Dy 3.52
Nd 0.1773 0.1773 0.6771  4 Pu 3.27-3.47, 1 Nd 3.36, 2 Dy 3.52

Properties
energy of formation from the pure elements	0.162	eV per atom
Fermi-level density of states	19.93	states/eV/cell

Q: Which of these has the lowest Fermi-level density of states?
A: number 6